A plane-wave DFT calculation with GGA-PBE was carried out for NaY2Pt4 after structural relaxation.

Properties
magnetization	0.00	Bohr magnetons per cell
total DFT energy (no corrections)	-6.154	eV per atom

Unit cell a=4.5032 b=4.5032 c=8.7920 alpha=90.00 beta=90.00 gamma=120.00
Sites, in units of the cell vectors:
Na 0.0000 0.0000 0.0000
Y 0.3333 0.6667 0.7367
Y 0.6667 0.3333 0.2633
Pt 0.3333 0.6667 0.0983
Pt 0.3333 0.6667 0.4081
Pt 0.6667 0.3333 0.5920
Pt 0.6667 0.3333 0.9017


A plane-wave DFT calculation with GGA-PBE was carried out for NaYZrPt after structural relaxation.

Properties
magnetization	0.00	Bohr magnetons per cell
total DFT energy (no corrections)	-5.815	eV per atom

Unit cell a=4.9536 b=4.9536 c=4.9536 alpha=60.00 beta=60.00 gamma=60.00
Sites, in units of the cell vectors:
Na 0.0000 0.0000 0.0000
Y 0.2500 0.2500 0.2500
Zr 0.7500 0.7500 0.7500
Pt 0.5000 0.5000 0.5000


A plane-wave DFT calculation with GGA-PBE was carried out for NaYZrPt after structural relaxation.

Properties
magnetization	0.01	Bohr magnetons per cell
total DFT energy (no corrections)	-5.616	eV per atom

Unit cell a=4.8999 b=4.8999 c=4.8999 alpha=60.00 beta=60.00 gamma=60.00
Sites, in units of the cell vectors:
Na 0.0000 0.0000 0.0000
Y 0.2500 0.2500 0.2500
Zr 0.5000 0.5000 0.5000
Pt 0.7500 0.7500 0.7500


A plane-wave DFT calculation with GGA-PBE was carried out for NaZnPt after structural relaxation.

Properties
magnetization	0.00	Bohr magnetons per cell
total DFT energy (no corrections)	-2.447	eV per atom

Unit cell a=4.3932 b=4.3932 c=4.3932 alpha=60.00 beta=60.00 gamma=60.00
Sites, in units of the cell vectors:
Na 0.0000 0.0000 0.0000
Zn 0.2500 0.2500 0.2500
Pt 0.7500 0.7500 0.7500


A plane-wave DFT calculation with GGA-PBE was carried out for NaZn2Pt2 after structural relaxation.

Properties
magnetization	0.00	Bohr magnetons per cell
total DFT energy (no corrections)	-3.692	eV per atom

Unit cell a=7.6143 b=7.6143 c=2.8236 alpha=90.00 beta=90.00 gamma=90.00
Sites, in units of the cell vectors:
Na 0.0000 0.0000 0.0000
Na 0.5000 0.5000 0.0000
Zn 0.1351 0.3649 0.0000
Zn 0.3649 0.8649 0.0000
Zn 0.6351 0.1351 0.0000
Zn 0.8649 0.6351 0.0000
Pt 0.1608 0.6608 0.5000
Pt 0.3392 0.1608 0.5000
Pt 0.6608 0.8392 0.5000
Pt 0.8392 0.3392 0.5000


A plane-wave DFT calculation with GGA-PBE was carried out for NaZrPt after structural relaxation.

Properties
magnetization	0.51	Bohr magnetons per cell
total DFT energy (no corrections)	-5.451	eV per atom

Unit cell a=4.5673 b=4.5673 c=4.5673 alpha=60.00 beta=60.00 gamma=60.00
Sites, in units of the cell vectors:
Na 0.0000 0.0000 0.0000
Zr 0.5000 0.5000 0.5000
Pt 0.2500 0.2500 0.2500


A plane-wave DFT calculation with GGA-PBE was carried out for NaPuRe after structural relaxation.

Properties
magnetization	3.74	Bohr magnetons per cell
total DFT energy (no corrections)	-7.683	eV per atom

Unit cell a=4.5623 b=4.5623 c=4.5623 alpha=60.00 beta=60.00 gamma=60.00
Sites, in units of the cell vectors:
Na 0.0000 0.0000 0.0000
Pu 0.7500 0.7500 0.7500
Re 0.2500 0.2500 0.2500


A plane-wave DFT calculation with GGA-PBE was carried out for NaPuRe after structural relaxation.

Properties
magnetization	3.93	Bohr magnetons per cell
total DFT energy (no corrections)	-7.835	eV per atom

Unit cell a=4.5937 b=4.5937 c=4.5937 alpha=60.00 beta=60.00 gamma=60.00
Sites, in units of the cell vectors:
Na 0.0000 0.0000 0.0000
Pu 0.2500 0.2500 0.2500
Re 0.5000 0.5000 0.5000


Q: Among the records above, which one has the highest magnetization?
A: number 8


Q: Which value of total DFT energy (no corrections) does entry 2 give?
A: -5.815 eV per atom